This record from Alexandria via LeMat-Bulk describes crystalline V4As2O13 at its relaxed geometry. The functional is PBE+U.

Output
- electronic total energy (eV per atom) = -7.11

Cell: 5.054 5.067 8.960 Å, 89.71 100.37 99.68°
Last column: magnetic moment on the atom in μB.
Fractional positions:
As (0.001, 0.995, 0.001)  0.02
As (0.242, 0.566, 0.413)  0.02
O (0.415, 0.731, 0.280)  -0.01
O (0.791, 0.980, 0.821)  -0.01
O (0.255, 0.048, 0.683)  -0.13
O (0.924, 0.507, 0.722)  -0.11
O (0.117, 0.243, 0.359)  0.00
O (0.088, 0.327, 0.048)  0.00
O (0.804, 0.840, 0.128)  0.00
O (0.269, 0.845, 0.983)  0.00
O (0.474, 0.566, 0.581)  0.00
O (0.536, 0.427, 0.902)  -0.14
O (0.701, 0.073, 0.531)  -0.04
O (0.975, 0.730, 0.436)  0.00
O (0.598, 0.283, 0.214)  -0.13
V (0.907, 0.815, 0.641)  1.06
V (0.575, 0.245, 0.703)  1.13
V (0.449, 0.539, 0.060)  1.11
V (0.739, 0.046, 0.317)  1.11

***

This record from Alexandria via LeMat-Bulk describes crystalline VAsO3 at its relaxed geometry. The functional is PBE+U.

Output
- electronic total energy (eV per atom) = -6.01
- N(E_F) (states/eV/f.u.) = 4.85

Cell: 3.861 3.861 3.861 Å, 90.00 90.00 90.00°
Last column: magnetic moment on the atom in μB.
Fractional positions:
V (0.500, 0.500, 0.500)  2.86
O (0.000, 0.000, 0.500)  -0.03
O (0.500, 0.000, 0.000)  -0.03
O (0.000, 0.500, 0.000)  -0.03
As (0.000, 0.000, 0.000)  0.00

***

This record from Alexandria via LeMat-Bulk describes crystalline VAs2O8 at its relaxed geometry. The functional is PBE+U.

Output
- electronic total energy (eV per atom) = -6.17
- N(E_F) (states/eV/f.u.) = 6.65

Cell: 6.536 5.382 5.382 Å, 120.00 90.00 90.00°
Last column: magnetic moment on the atom in μB.
Fractional positions:
O (0.331, 0.162, 0.838)  0.05
O (0.331, 0.676, 0.838)  0.05
O (0.669, 0.838, 0.162)  0.05
O (0.669, 0.838, 0.676)  0.05
O (0.669, 0.324, 0.162)  0.05
O (0.023, 0.667, 0.333)  0.34
O (0.331, 0.162, 0.324)  0.05
O (0.977, 0.333, 0.667)  0.34
V (0.500, 0.000, 0.000)  -0.07
As (0.765, 0.667, 0.333)  -0.01
As (0.235, 0.333, 0.667)  -0.01

***

This record from Alexandria via LeMat-Bulk describes crystalline VAs2O at its relaxed geometry. The functional is PBE+U.

Output
- electronic total energy (eV per atom) = -4.74
- N(E_F) (states/eV/f.u.) = 4.48

Cell: 4.418 4.418 4.418 Å, 60.00 60.00 60.00°
Last column: magnetic moment on the atom in μB.
Fractional positions:
As (0.250, 0.250, 0.250)  -0.11
As (0.750, 0.750, 0.750)  -0.11
V (0.500, 0.500, 0.500)  1.98
O (0.000, 0.000, 0.000)  -0.50

***

Among the records above, which one has the highest electronic total energy? VAs2O